# Pm2NdCd6

A geometry-optimized Pm2NdCd6 structure (PBE-GGA, the Alexandria database).

Values from the calculation:
- volume (Å³/atom) = 25.68
- E_form (eV per atom) = -0.3438
- total moment (μB/f.u.) = 0.33

Cell lengths 3.456, 8.787, 8.787 Å; angles 120.00, 90.00, 90.00 degrees
Each line ends with the local moment (μB).
Element x y z (fractional)
1 Cd 0.500 0.666 0.000  0.00
2 Cd 0.500 0.666 0.666  0.00
3 Cd 0.500 0.334 0.000  0.00
4 Cd 0.500 0.000 0.666  0.00
5 Cd 0.500 0.334 0.334  0.00
6 Cd 0.500 0.000 0.334  0.00
7 Pm 0.000 0.667 0.333  0.05
8 Pm 0.000 0.333 0.667  0.05
9 Nd 0.000 0.000 0.000  0.07